(1)
DFT (GGA-PBE) results for SmDySc2Bi4 after structural relaxation.

a = 7.601 Å, b = 4.398 Å, c = 7.617 Å
α = 90.00°, β = 109.51°, γ = 90.00°
Fractional positions:
Sm 0.000 0.000 0.000
Dy 0.000 0.500 0.500
Sc 0.500 0.000 0.500
Sc 0.500 0.500 0.000
Bi 0.266 0.000 0.753
Bi 0.268 0.500 0.259
Bi 0.732 0.500 0.741
Bi 0.734 0.000 0.247

Properties
For the calculated formation energy, the calculation gives -74.16 kJ/mol of atoms. Its space group is No. 10.


(2)
DFT (GGA-PBE) results for Tb2DySc3Bi6 after structural relaxation.

a = 7.591 Å, b = 7.591 Å, c = 7.572 Å
α = 99.61°, β = 99.61°, γ = 120.03°
Fractional positions:
Tb 0.166 0.834 0.000
Tb 0.834 0.166 0.000
Dy 0.500 0.500 0.000
Sc 0.000 0.000 0.500
Sc 0.333 0.667 0.500
Sc 0.667 0.333 0.500
Bi 0.079 0.412 0.735
Bi 0.256 0.256 0.266
Bi 0.412 0.079 0.735
Bi 0.588 0.921 0.265
Bi 0.744 0.744 0.734
Bi 0.921 0.588 0.265

Properties
For the calculated formation energy, the calculation gives -73.54 kJ/mol of atoms. Its space group is No. 12.


(3)
DFT (GGA-PBE) results for Tb2Dy3ScBi6 after structural relaxation.

a = 9.945 Å, b = 9.945 Å, c = 8.901 Å
α = 102.89°, β = 102.89°, γ = 25.86°
Fractional positions:
Tb 0.166 0.166 0.332
Tb 0.834 0.834 0.668
Dy 0.169 0.169 0.834
Dy 0.500 0.500 0.500
Dy 0.831 0.831 0.166
Sc 0.500 0.500 0.000
Bi 0.001 0.001 0.760
Bi 0.333 0.333 0.416
Bi 0.338 0.338 0.920
Bi 0.662 0.662 0.080
Bi 0.667 0.667 0.584
Bi 0.999 0.999 0.240

Properties
For the calculated formation energy, the calculation gives -79.67 kJ/mol of atoms. Its space group is No. 12.


(4)
DFT (GGA-PBE) results for Tb2DyScBi5 after structural relaxation.

a = 5.467 Å, b = 5.467 Å, c = 11.483 Å
α = 90.00°, β = 90.00°, γ = 90.00°
Fractional positions:
Tb 0.000 0.000 0.223
Tb 0.000 0.000 0.777
Dy 0.500 0.500 0.000
Sc 0.500 0.500 0.500
Bi 0.000 0.000 0.500
Bi 0.000 0.500 0.000
Bi 0.500 0.000 0.000
Bi 0.500 0.500 0.261
Bi 0.500 0.500 0.739

Properties
For the calculated formation energy, the calculation gives 5.03 kJ/mol of atoms. Its space group is No. 123.


(5)
DFT (GGA-PBE) results for TbDy2ScBi5 after structural relaxation.

a = 5.482 Å, b = 5.482 Å, c = 11.485 Å
α = 90.00°, β = 90.00°, γ = 90.00°
Fractional positions:
Tb 0.000 0.000 0.000
Dy 0.500 0.500 0.223
Dy 0.500 0.500 0.777
Sc 0.000 0.000 0.500
Bi 0.000 0.000 0.261
Bi 0.000 0.000 0.739
Bi 0.000 0.500 0.000
Bi 0.500 0.000 0.000
Bi 0.500 0.500 0.500

Properties
For the calculated formation energy, the calculation gives 8.33 kJ/mol of atoms. Its space group is No. 123.


(6)
DFT (GGA-PBE) results for DyThSc2Bi4 after structural relaxation.

a = 7.602 Å, b = 4.423 Å, c = 7.639 Å
α = 90.00°, β = 109.59°, γ = 90.00°
Fractional positions:
Dy 0.000 0.000 0.000
Th 0.000 0.500 0.500
Sc 0.500 0.000 0.500
Sc 0.500 0.500 0.000
Bi 0.268 0.500 0.252
Bi 0.271 0.000 0.762
Bi 0.729 0.000 0.238
Bi 0.732 0.500 0.748

Properties
For the calculated formation energy, the calculation gives -66.49 kJ/mol of atoms. Its space group is No. 10.


(7)
DFT (GGA-PBE) results for DyScTlBi after structural relaxation.

a = 7.531 Å, b = 7.531 Å, c = 7.531 Å
α = 90.00°, β = 90.00°, γ = 90.00°
Fractional positions:
Dy 0.000 0.000 0.000
Dy 0.000 0.500 0.500
Dy 0.500 0.000 0.500
Dy 0.500 0.500 0.000
Sc 0.000 0.000 0.500
Sc 0.000 0.500 0.000
Sc 0.500 0.000 0.000
Sc 0.500 0.500 0.500
Tl 0.250 0.250 0.250
Tl 0.250 0.750 0.750
Tl 0.750 0.250 0.750
Tl 0.750 0.750 0.250
Bi 0.250 0.250 0.750
Bi 0.250 0.750 0.250
Bi 0.750 0.250 0.250
Bi 0.750 0.750 0.750

Properties
For the calculated formation energy, the calculation gives -32.36 kJ/mol of atoms. Its space group is No. 216.


(8)
DFT (GGA-PBE) results for Dy3Tm2ScBi6 after structural relaxation.

a = 9.898 Å, b = 9.898 Å, c = 8.858 Å
α = 102.83°, β = 102.83°, γ = 25.85°
Fractional positions:
Dy 0.000 0.000 0.000
Dy 0.332 0.332 0.666
Dy 0.668 0.668 0.334
Tm 0.334 0.334 0.168
Tm 0.666 0.666 0.832
Sc 0.000 0.000 0.500
Bi 0.163 0.163 0.583
Bi 0.167 0.167 0.081
Bi 0.500 0.500 0.260
Bi 0.500 0.500 0.740
Bi 0.833 0.833 0.919
Bi 0.837 0.837 0.417

Properties
For the calculated formation energy, the calculation gives -76.79 kJ/mol of atoms. Its space group is No. 12.


(9)
DFT (GGA-PBE) results for Dy2TmScBi5 after structural relaxation.

a = 5.419 Å, b = 5.419 Å, c = 11.451 Å
α = 90.00°, β = 90.00°, γ = 90.00°
Fractional positions:
Dy 0.000 0.000 0.223
Dy 0.000 0.000 0.777
Tm 0.500 0.500 0.000
Sc 0.500 0.500 0.500
Bi 0.000 0.000 0.500
Bi 0.000 0.500 0.000
Bi 0.500 0.000 0.000
Bi 0.500 0.500 0.260
Bi 0.500 0.500 0.740

Properties
For the calculated formation energy, the calculation gives 4.78 kJ/mol of atoms. Its space group is No. 123.


(10)
DFT (GGA-PBE) results for Dy2Tm3ScBi6 after structural relaxation.

a = 9.883 Å, b = 9.883 Å, c = 8.846 Å
α = 102.88°, β = 102.88°, γ = 25.85°
Fractional positions:
Dy 0.166 0.166 0.333
Dy 0.834 0.834 0.667
Tm 0.169 0.169 0.835
Tm 0.500 0.500 0.500
Tm 0.831 0.831 0.165
Sc 0.500 0.500 0.000
Bi 0.002 0.002 0.759
Bi 0.334 0.334 0.414
Bi 0.337 0.337 0.921
Bi 0.663 0.663 0.079
Bi 0.666 0.666 0.586
Bi 0.998 0.998 0.241

Properties
For the calculated formation energy, the calculation gives -75.42 kJ/mol of atoms. Its space group is No. 12.


(11)
DFT (GGA-PBE) results for DyTm3Sc2Bi6 after structural relaxation.

a = 9.806 Å, b = 9.806 Å, c = 8.777 Å
α = 102.87°, β = 102.87°, γ = 25.85°
Fractional positions:
Dy 0.000 0.000 0.000
Tm 0.000 0.000 0.500
Tm 0.335 0.335 0.169
Tm 0.665 0.665 0.831
Sc 0.333 0.333 0.667
Sc 0.667 0.667 0.333
Bi 0.168 0.168 0.091
Bi 0.169 0.169 0.576
Bi 0.496 0.496 0.746
Bi 0.504 0.504 0.254
Bi 0.831 0.831 0.424
Bi 0.832 0.832 0.909

Properties
For the calculated formation energy, the calculation gives -72.15 kJ/mol of atoms. Its space group is No. 12.


(12)
DFT (GGA-PBE) results for DyTm2Sc3Bi6 after structural relaxation.

a = 7.551 Å, b = 7.551 Å, c = 7.543 Å
α = 99.59°, β = 99.59°, γ = 120.02°
Fractional positions:
Dy 0.000 0.000 0.000
Tm 0.333 0.667 0.000
Tm 0.667 0.333 0.000
Sc 0.166 0.834 0.500
Sc 0.500 0.500 0.500
Sc 0.834 0.166 0.500
Bi 0.088 0.423 0.263
Bi 0.248 0.248 0.738
Bi 0.423 0.088 0.263
Bi 0.577 0.912 0.737
Bi 0.752 0.752 0.262
Bi 0.912 0.577 0.737

Properties
For the calculated formation energy, the calculation gives -70.55 kJ/mol of atoms. Its space group is No. 12.


(13)
DFT (GGA-PBE) results for Dy2YScBi4 after structural relaxation.

a = 7.670 Å, b = 4.432 Å, c = 7.672 Å
α = 90.00°, β = 109.47°, γ = 90.00°
Fractional positions:
Dy 0.000 0.000 0.000
Dy 0.000 0.500 0.500
Y 0.500 0.000 0.500
Sc 0.500 0.500 0.000
Bi 0.254 0.500 0.245
Bi 0.259 0.000 0.760
Bi 0.741 0.000 0.240
Bi 0.746 0.500 0.755

Properties
For the calculated formation energy, the calculation gives -78.06 kJ/mol of atoms. Its space group is No. 10.


(14)
DFT (GGA-PBE) results for Dy2YSc3Bi6 after structural relaxation.

a = 7.580 Å, b = 7.580 Å, c = 7.566 Å
α = 99.60°, β = 99.60°, γ = 120.02°
Fractional positions:
Dy 0.167 0.833 0.000
Dy 0.833 0.167 0.000
Y 0.500 0.500 0.000
Sc 0.000 0.000 0.500
Sc 0.333 0.667 0.500
Sc 0.667 0.333 0.500
Bi 0.078 0.412 0.735
Bi 0.255 0.255 0.265
Bi 0.412 0.078 0.735
Bi 0.588 0.922 0.265
Bi 0.745 0.745 0.735
Bi 0.922 0.588 0.265

Properties
For the calculated formation energy, the calculation gives -73.53 kJ/mol of atoms. Its space group is No. 12.


(15)
DFT (GGA-PBE) results for Dy3Y2ScBi6 after structural relaxation.

a = 9.936 Å, b = 9.936 Å, c = 8.892 Å
α = 102.86°, β = 102.86°, γ = 25.86°
Fractional positions:
Dy 0.000 0.000 0.000
Dy 0.331 0.331 0.666
Dy 0.669 0.669 0.334
Y 0.334 0.334 0.167
Y 0.666 0.666 0.833
Sc 0.000 0.000 0.500
Bi 0.162 0.162 0.581
Bi 0.167 0.167 0.084
Bi 0.499 0.499 0.740
Bi 0.501 0.501 0.260
Bi 0.833 0.833 0.916
Bi 0.838 0.838 0.419

Properties
For the calculated formation energy, the calculation gives -80.31 kJ/mol of atoms. Its space group is No. 12.


(16)
DFT (GGA-PBE) results for Dy2ZrScBi4 after structural relaxation.

a = 7.545 Å, b = 4.355 Å, c = 7.560 Å
α = 90.00°, β = 109.31°, γ = 90.00°
Fractional positions:
Dy 0.000 0.000 0.000
Dy 0.500 0.500 0.000
Zr 0.000 0.500 0.500
Sc 0.500 0.000 0.500
Bi 0.247 0.000 0.737
Bi 0.255 0.500 0.264
Bi 0.745 0.500 0.736
Bi 0.753 0.000 0.263

Properties
For the calculated formation energy, the calculation gives -62.13 kJ/mol of atoms. Its space group is No. 10.


(17)
DFT (GGA-PBE) results for Dy6BiSe5 after structural relaxation.

a = 7.162 Å, b = 7.162 Å, c = 7.218 Å
α = 99.55°, β = 99.55°, γ = 119.96°
Fractional positions:
Dy 0.065 0.411 0.734
Dy 0.238 0.238 0.260
Dy 0.411 0.065 0.734
Dy 0.589 0.935 0.266
Dy 0.762 0.762 0.740
Dy 0.935 0.589 0.266
Bi 0.500 0.500 0.000
Se 0.000 0.000 0.500
Se 0.168 0.832 0.000
Se 0.340 0.660 0.500
Se 0.660 0.340 0.500
Se 0.832 0.168 0.000

Properties
Its space group is No. 12. The calculation puts the total energy at -67.91 eV/cell.


(18)
DFT (GGA-PBE) results for Dy8BiSe6 after structural relaxation.

a = 10.575 Å, b = 10.575 Å, c = 4.061 Å
α = 90.00°, β = 90.00°, γ = 120.00°
Fractional positions:
Dy 0.037 0.329 0.246
Dy 0.292 0.963 0.246
Dy 0.329 0.292 0.754
Dy 0.333 0.667 0.752
Dy 0.667 0.333 0.248
Dy 0.671 0.708 0.246
Dy 0.708 0.037 0.754
Dy 0.963 0.671 0.754
Bi 0.000 0.000 0.000
Se 0.132 0.649 0.251
Se 0.351 0.483 0.251
Se 0.483 0.132 0.749
Se 0.517 0.868 0.251
Se 0.649 0.517 0.749
Se 0.868 0.351 0.749

Properties
Its space group is No. 147. The calculation puts the total energy at -81.66 eV/cell.


(19)
DFT (GGA-PBE) results for Dy5Bi4Se after structural relaxation.

a = 15.843 Å, b = 15.843 Å, c = 15.843 Å
α = 163.99°, β = 163.99°, γ = 22.72°
Fractional positions:
Dy 0.000 0.000 0.000
Dy 0.201 0.201 0.000
Dy 0.406 0.406 0.000
Dy 0.594 0.594 0.000
Dy 0.799 0.799 0.000
Bi 0.099 0.099 0.000
Bi 0.303 0.303 0.000
Bi 0.697 0.697 0.000
Bi 0.901 0.901 0.000
Se 0.500 0.500 0.000

Properties
Its space group is No. 139. Its excess energy over the best structure of this formula in the dataset is 0.0123 eV/atom.


(20)
DFT (GGA-PBE) results for Dy2BiSe2 after structural relaxation.

a = 7.273 Å, b = 7.273 Å, c = 6.808 Å
α = 110.39°, β = 110.39°, γ = 95.58°
Fractional positions:
Dy 0.096 0.904 0.750
Dy 0.315 0.685 0.250
Dy 0.685 0.315 0.750
Dy 0.904 0.096 0.250
Bi 0.383 0.617 0.750
Bi 0.617 0.383 0.250
Se 0.080 0.280 0.033
Se 0.280 0.080 0.533
Se 0.720 0.920 0.467
Se 0.920 0.720 0.967

Properties
Its space group is No. 15. The calculation puts the total energy at -52.26 eV/cell.


Result set for calculated volume: 30.004; 29.671; 31.148; 38.135; 38.347; 30.247; 26.694; 30.709; 37.370; 30.568; 29.853; 29.260; 30.734; 29.573; 31.064; 29.303; 25.222; 26.218; 30.243; 30.646 Å³ per atom, one per record in the order listed.